A plane-wave DFT calculation with PBE-GGA was carried out for crystalline Be2SeBr at its relaxed geometry.

## Properties
* N(E_F): 0.380 states/eV/atom
* polymorph energy (0 for the lowest one): 0.5450 eV/atom
* crystal system: orthorhombic

```
4
Lattice="3.349 0.000 0.000 0.000 3.356 0.000 0.000 0.000 6.973" Properties=species:S:1:pos:R:3 pbc="T T T"
Be 0.000 0.000 0.000
Be 0.000 1.678 3.487
Se 1.674 0.000 3.487
Br 1.674 1.678 0.000
```